The following is a GGA-PBEsol calculation of a geometry-optimized MoIrSe2 structure, from the Alexandria database.

## Properties
The value obtained for the energy relative to the lowest polymorph listed for this composition is 668.7 meV/atom. Its formation energy without anion corrections is 2.35 eV per formula unit. As for the density of states at the Fermi level: 14.0 states/eV per cell.

a b c (Å): 6.3665 6.3665 6.3665
angles (deg): 90.00 90.00 90.00
Last column: nearest neighbours and their distance in Å.
Space group F-43m (No. 216)
Asymmetric unit:
Mo: 0.0000 0.0000 0.0000 [4 per cell]  4 Ir 2.76, 4 Se 2.76
Ir: 0.2500 0.2500 0.2500 [4 per cell]  4 Se 2.76, 4 Mo 2.76
Se: 0.0000 0.0000 0.5000 [4 per cell]  4 Se 2.76, 4 Ir 2.76
Se: 0.2500 0.2500 0.7500 [4 per cell]  4 Se 2.76, 4 Mo 2.76

---

The following is a GGA-PBEsol calculation of a geometry-optimized MoIrSe2 structure, from the Alexandria database.

## Properties
The value obtained for the energy relative to the lowest polymorph listed for this composition is 269.9 meV/atom. Its formation energy without anion corrections is 0.75 eV per formula unit. As for the density of states at the Fermi level: 4.0 states/eV per cell.

a b c (Å): 3.1357 3.1357 6.2069
angles (deg): 90.00 90.00 90.00
Last column: nearest neighbours and their distance in Å.
Space group P4/mmm (No. 123)
Asymmetric unit:
Mo: 0.0000 0.0000 0.0000 [1 per cell]  8 Se 2.67
Ir: 0.0000 0.0000 0.5000 [1 per cell]  8 Se 2.75
Se: 0.5000 0.5000 0.2392 [2 per cell]  4 Mo 2.67, 4 Ir 2.75, 1 Se 2.97

---

The following is a GGA-PBEsol calculation of a geometry-optimized Mo2IrSe structure, from the Alexandria database.

## Properties
Its formation energy without anion corrections is 0.15 eV per formula unit. As for the density of states at the Fermi level: 2.4 states/eV per cell.

a b c (Å): 4.5666 4.5666 2.8566
angles (deg): 90.00 90.00 90.00
Last column: nearest neighbours and their distance in Å.
Space group P4/mmm (No. 123)
Asymmetric unit:
Mo: 0.0000 0.5000 0.0000 [2 per cell]  4 Se 2.69, 4 Ir 2.69, 2 Mo 2.86
Ir: 0.0000 0.0000 0.5000 [1 per cell]  8 Mo 2.69, 2 Ir 2.86
Se: 0.5000 0.5000 0.5000 [1 per cell]  8 Mo 2.69, 2 Se 2.86

---

The following is a GGA-PBEsol calculation of a geometry-optimized SiMoIr2 structure, from the Alexandria database.

## Properties
Its formation energy without anion corrections is -1.87 eV per formula unit. As for the density of states at the Fermi level: 1.6 states/eV per cell.

a b c (Å): 2.7961 2.7961 6.9949
angles (deg): 90.00 90.00 90.00
Last column: nearest neighbours and their distance in Å.
Space group P4/mmm (No. 123)
Asymmetric unit:
Si: 0.0000 0.0000 0.0000 [1 per cell]  8 Ir 2.48
Mo: 0.0000 0.0000 0.5000 [1 per cell]  4 Mo 2.80, 8 Ir 2.81
Ir: 0.5000 0.5000 0.2143 [2 per cell]  4 Si 2.48

---

The following is a GGA-PBEsol calculation of a geometry-optimized SiMoIr2 structure, from the Alexandria database.

## Properties
Its formation energy without anion corrections is -0.16 eV per formula unit. As for the density of states at the Fermi level: 3.4 states/eV per cell.

a b c (Å): 4.5721 4.5721 2.7187
angles (deg): 90.00 90.00 90.00
Last column: nearest neighbours and their distance in Å.
Space group P4/mmm (No. 123)
Asymmetric unit:
Si: 0.0000 0.0000 0.0000 [1 per cell]  8 Ir 2.66, 2 Si 2.72
Mo: 0.5000 0.5000 0.0000 [1 per cell]  8 Ir 2.66, 2 Mo 2.72
Ir: 0.0000 0.5000 0.5000 [2 per cell]  4 Mo 2.66, 4 Si 2.66, 2 Ir 2.72

---

The following is a GGA-PBEsol calculation of a geometry-optimized SiMoIr2 structure, from the Alexandria database.

## Properties
Its formation energy without anion corrections is -0.58 eV per formula unit. As for the density of states at the Fermi level: 4.0 states/eV per cell.

a b c (Å): 4.6229 2.7255 4.7019
angles (deg): 90.00 108.99 90.00
Last column: nearest neighbours and their distance in Å.
Space group P2/m (No. 10)
Asymmetric unit:
Si: 0.0000 0.0000 0.0000 [1 per cell]  4 Mo 2.68, 6 Ir 2.71-2.72, 2 Si 2.73
Mo: 0.5000 0.5000 0.0000 [1 per cell]  4 Si 2.68, 6 Ir 2.71-2.72, 2 Mo 2.73
Ir: 0.0000 0.5000 0.5000 [1 per cell]  6 Ir 2.68-2.73, 2 Mo 2.71, 4 Si 2.72
Ir: 0.5000 0.0000 0.5000 [1 per cell]  6 Ir 2.68-2.73, 2 Si 2.71, 4 Mo 2.72

---

The following is a GGA-PBEsol calculation of a geometry-optimized SiMo2Ir structure, from the Alexandria database.

## Properties
Its formation energy without anion corrections is -1.19 eV per formula unit. As for the density of states at the Fermi level: 2.3 states/eV per cell.

a b c (Å): 2.7640 4.0658 5.0501
angles (deg): 90.00 90.00 90.00
Last column: nearest neighbours and their distance in Å.
Space group Pmmm (No. 47)
Asymmetric unit:
Si: 0.0000 0.0000 0.0000 [1 per cell]  2 Ir 2.53, 8 Mo 2.74, 2 Si 2.76
Mo: 0.5000 0.5000 0.2404 [2 per cell]  2 Mo 2.43-2.62
Ir: 0.0000 0.0000 0.5000 [1 per cell]  2 Si 2.53, 2 Ir 2.76, 8 Mo 2.79

---

The following is a GGA-PBEsol calculation of a geometry-optimized SiMo2Ir structure, from the Alexandria database.

## Properties
Its formation energy without anion corrections is -1.15 eV per formula unit. As for the density of states at the Fermi level: 4.0 states/eV per cell.

a b c (Å): 9.7303 2.7436 4.5541
angles (deg): 90.00 110.00 90.00
Last column: nearest neighbours and their distance in Å.
Space group Cm (No. 8)
Asymmetric unit:
Si: 0.0000 0.0000 0.0000 [2 per cell]  2 Ir 2.45, 6 Mo 2.58-2.72, 2 Si 2.74
Mo: 0.2619 0.0000 0.8532 [2 per cell]  3 Si 2.58-2.85, 4 Ir 2.68-2.74, 3 Mo 2.74-2.85
Mo: 0.4595 0.0000 0.4807 [2 per cell]  4 Si 2.64-2.72, 3 Ir 2.70-2.74, 3 Mo 2.74-2.85
Ir: 0.2056 0.5000 0.3192 [2 per cell]  2 Si 2.45, 7 Mo 2.68-2.74, 2 Ir 2.74

---

The following is a GGA-PBEsol calculation of a geometry-optimized SrMoIr2 structure, from the Alexandria database.

## Properties
The value obtained for the energy relative to the lowest polymorph listed for this composition is 0.0 meV/atom. As for the density of states at the Fermi level: 3.9 states/eV per cell. The calculation puts the energy of formation at 0.386 eV/atom.

a b c (Å): 2.7639 3.9773 6.9355
angles (deg): 90.00 90.00 90.00
Last column: nearest neighbours and their distance in Å.
Space group Pmm2 (No. 25)
Asymmetric unit:
Sr: 0.0000 0.0000 0.0000 [1 per cell]  2 Sr 2.76
Mo: 0.5000 0.5000 0.6373 [1 per cell]  5 Ir 2.47-2.63, 2 Mo 2.76
Ir: 0.0000 0.0000 0.4894 [1 per cell]  4 Mo 2.63, 6 Ir 2.76-2.82
Ir: 0.5000 0.5000 0.2809 [1 per cell]  1 Mo 2.47, 2 Ir 2.76

---

The following is a GGA-PBEsol calculation of a geometry-optimized SrMoIr2 structure, from the Alexandria database.

## Properties
The value obtained for the energy relative to the lowest polymorph listed for this composition is 56.4 meV/atom. As for the density of states at the Fermi level: 7.1 states/eV per cell. The calculation puts the energy of formation at 0.442 eV/atom.

a b c (Å): 6.2832 7.6381 2.8638
angles (deg): 90.00 90.00 90.00
Last column: nearest neighbours and their distance in Å.
Space group Cmmm (No. 65)
Asymmetric unit:
Sr: 0.0000 0.0000 0.0000 [2 per cell]  8 Ir 2.86, 2 Sr 2.86, 2 Mo 3.14
Mo: 0.0000 0.5000 0.0000 [2 per cell]  8 Ir 2.86, 2 Mo 2.86, 2 Sr 3.14
Ir: 0.2500 0.2500 0.5000 [4 per cell]  4 Mo 2.86, 4 Sr 2.86, 4 Ir 2.86-3.14

---

The following is a GGA-PBEsol calculation of a geometry-optimized SrMo2Ir structure, from the Alexandria database.

## Properties
The value obtained for the energy relative to the lowest polymorph listed for this composition is 23.9 meV/atom. As for the density of states at the Fermi level: 11.7 states/eV per cell. The calculation puts the energy of formation at 0.742 eV/atom.

a b c (Å): 6.5252 6.5252 6.5252
angles (deg): 90.00 90.00 90.00
Last column: nearest neighbours and their distance in Å.
Space group F-43m (No. 216)
Asymmetric unit:
Sr: 0.0000 0.0000 0.0000 [4 per cell]  4 Mo 2.83, 4 Ir 2.83
Mo: 0.0000 0.0000 0.5000 [4 per cell]  4 Mo 2.83, 4 Ir 2.83
Mo: 0.2500 0.2500 0.7500 [4 per cell]  4 Mo 2.83, 4 Sr 2.83
Ir: 0.2500 0.2500 0.2500 [4 per cell]  4 Mo 2.83, 4 Sr 2.83

---

The following is a GGA-PBEsol calculation of a geometry-optimized SrMo2Ir structure, from the Alexandria database.

## Properties
The value obtained for the energy relative to the lowest polymorph listed for this composition is 261.9 meV/atom. As for the density of states at the Fermi level: 4.8 states/eV per cell. The calculation puts the energy of formation at 0.980 eV/atom.

a b c (Å): 3.8704 3.8704 4.8502
angles (deg): 90.00 90.00 90.00
Last column: nearest neighbours and their distance in Å.
Space group P4/mmm (No. 123)
Asymmetric unit:
Sr: 0.0000 0.0000 0.0000 [1 per cell]  4 Ir 2.74
Mo: 0.0000 0.5000 0.5000 [2 per cell]  4 Mo 2.74
Ir: 0.5000 0.5000 0.0000 [1 per cell]  4 Sr 2.74

---

The following is a GGA-PBEsol calculation of a geometry-optimized SrMoIr2 structure, from the Alexandria database.

## Properties
The value obtained for the energy relative to the lowest polymorph listed for this composition is 363.9 meV/atom. As for the density of states at the Fermi level: 27.1 states/eV per cell. The calculation puts the energy of formation at 0.749 eV/atom.

a b c (Å): 6.4666 6.4666 6.4666
angles (deg): 90.00 90.00 90.00
Last column: nearest neighbours and their distance in Å.
Space group F-43m (No. 216)
Asymmetric unit:
Sr: 0.0000 0.0000 0.0000 [4 per cell]  4 Mo 2.80, 4 Ir 2.80
Mo: 0.2500 0.2500 0.2500 [4 per cell]  4 Ir 2.80, 4 Sr 2.80
Ir: 0.0000 0.0000 0.5000 [4 per cell]  4 Mo 2.80, 4 Ir 2.80
Ir: 0.2500 0.2500 0.7500 [4 per cell]  4 Ir 2.80, 4 Sr 2.80

---

The following is a GGA-PBEsol calculation of a geometry-optimized SrMo2Ir structure, from the Alexandria database.

## Properties
The value obtained for the energy relative to the lowest polymorph listed for this composition is 0.0 meV/atom. As for the density of states at the Fermi level: 10.4 states/eV per cell. The calculation puts the energy of formation at 0.718 eV/atom.

a b c (Å): 2.8394 2.8394 30.1951
angles (deg): 90.00 90.00 120.00
Last column: nearest neighbours and their distance in Å.
Space group R3m (No. 160, hexagonal axes)
Asymmetric unit:
Sr: 0.0000 0.0000 0.0000 [3 per cell]  6 Sr 2.84, 3 Ir 3.18
Mo: 0.0000 0.0000 0.2369 [3 per cell]  9 Mo 2.84-2.86
Mo: 0.0000 0.0000 0.4928 [3 per cell]  3 Ir 2.66, 9 Mo 2.84-2.86
Ir: 0.0000 0.0000 0.7568 [3 per cell]  3 Mo 2.66, 6 Ir 2.84

---

The following is a GGA-PBEsol calculation of a geometry-optimized SrMo2Ir structure, from the Alexandria database.

## Properties
The value obtained for the energy relative to the lowest polymorph listed for this composition is 82.1 meV/atom. As for the density of states at the Fermi level: 6.8 states/eV per cell. The calculation puts the energy of formation at 0.800 eV/atom.

a b c (Å): 5.4893 9.5441 2.7687
angles (deg): 90.00 107.22 90.00
Last column: nearest neighbours and their distance in Å.
Space group C2/m (No. 12)
Asymmetric unit:
Sr: 0.0000 0.0000 0.0000 [2 per cell]  2 Ir 2.74, 2 Sr 2.77, 4 Mo 2.89
Mo: 0.2500 0.2500 0.5000 [4 per cell]  4 Mo 2.74-2.77, 2 Ir 2.89, 2 Sr 2.89
Ir: 0.0000 0.5000 0.0000 [2 per cell]  2 Sr 2.74, 2 Ir 2.77, 4 Mo 2.89